{"formula": "TaIrNO", "functional": "PBE", "state": "optimized geometry", "sg": "P4/nmm", "total_energy_ev_per_atom": -8.816, "lattice": [[-1.428, -2.536, -3.008], [3.229, -2.583, 0.645], [-2.959, -2.765, 3.736]], "species": ["Ir", "Ir", "N", "N", "O", "O", "Ta", "Ta"], "frac_coords": [[0.250, 0.250, 0.171], [0.750, 0.750, 0.829], [0.750, 0.750, 0.453], [0.250, 0.250, 0.547], [0.750, 0.250, 0.000], [0.250, 0.750, 0.000], [0.750, 0.250, 0.500], [0.250, 0.750, 0.500]]}

***

{"formula": "Ho3HfSn2C2", "functional": "PBE", "state": "optimized geometry", "sg": "P3m1", "total_energy_ev_per_atom": -6.879, "lattice": [[-2.868, -0.699, -1.909], [3.109, 0.418, -1.587], [2.763, -15.191, 1.412]], "species": ["C", "C", "Hf", "Ho", "Ho", "Ho", "Sn", "Sn"], "frac_coords": [[0.000, 0.000, 0.014], [0.000, 0.000, 0.496], [0.333, 0.667, 0.085], [0.333, 0.667, 0.410], [0.667, 0.333, 0.583], [0.667, 0.333, 0.920], [0.667, 0.333, 0.239], [0.333, 0.667, 0.753]]}

***

{"formula": "ErTcNO", "functional": "PBE", "state": "optimized geometry", "sg": "Pca2_1", "total_energy_ev_per_atom": -8.195, "lattice": [[4.816, 0.000, 0.000], [0.000, 6.025, 0.000], [0.000, 0.000, 7.500]], "species": ["Er", "Er", "Er", "Er", "N", "N", "N", "N", "O", "O", "O", "O", "Tc", "Tc", "Tc", "Tc"], "frac_coords": [[0.025, 0.060, 0.151], [0.525, 0.440, 0.151], [0.025, 0.560, 0.849], [0.525, 0.940, 0.849], [0.525, 0.063, 0.140], [0.025, 0.437, 0.140], [0.525, 0.563, 0.860], [0.025, 0.937, 0.860], [0.632, 0.527, 0.435], [0.132, 0.973, 0.435], [0.632, 0.027, 0.565], [0.132, 0.473, 0.565], [0.020, 0.641, 0.337], [0.520, 0.859, 0.337], [0.020, 0.141, 0.663], [0.520, 0.359, 0.663]]}

***

{"formula": "Zr6PbAu", "functional": "PBE", "state": "optimized geometry", "sg": "Pm-3", "total_energy_ev_per_atom": -7.556, "lattice": [[5.592, 0.000, 0.000], [0.000, 5.592, 0.000], [0.000, 0.000, 5.592]], "species": ["Au", "Pb", "Zr", "Zr", "Zr", "Zr", "Zr", "Zr"], "frac_coords": [[0.000, 0.000, 0.000], [0.500, 0.500, 0.500], [0.500, 0.244, 0.000], [0.500, 0.756, 0.000], [0.000, 0.500, 0.244], [0.244, 0.000, 0.500], [0.756, 0.000, 0.500], [0.000, 0.500, 0.756]]}

***

{"formula": "Ho2TmAl3NiGe2", "functional": "PBE", "state": "optimized geometry", "sg": "Amm2", "total_energy_ev_per_atom": -5.153, "lattice": [[-0.079, -3.786, 1.717], [5.872, 1.394, 3.343], [-6.069, 1.459, 2.939]], "species": ["Al", "Al", "Al", "Ge", "Ge", "Ho", "Ho", "Ni", "Tm"], "frac_coords": [[0.500, 0.230, 0.001], [0.500, 0.001, 0.230], [0.500, 0.770, 0.770], [0.500, 0.665, 0.334], [0.500, 0.334, 0.665], [0.000, 0.000, 0.597], [0.000, 0.597, 0.000], [0.000, 0.002, 0.002], [0.000, 0.403, 0.403]]}

***

{"formula": "NaZrF4", "functional": "PBE", "state": "optimized geometry", "sg": "P2_1/c", "total_energy_ev_per_atom": -5.934, "lattice": [[5.789, 0.000, 0.000], [0.000, 5.054, 0.000], [-1.673, 0.000, 5.321]], "species": ["F", "F", "F", "F", "F", "F", "F", "F", "Na", "Na", "Zr", "Zr"], "frac_coords": [[0.347, 0.860, 0.105], [0.869, 0.644, 0.116], [0.131, 0.144, 0.384], [0.653, 0.360, 0.395], [0.347, 0.640, 0.605], [0.869, 0.856, 0.616], [0.131, 0.356, 0.884], [0.653, 0.140, 0.895], [0.500, 0.500, 0.000], [0.500, 0.000, 0.500], [0.000, 0.000, 0.000], [0.000, 0.500, 0.500]]}

***

{"formula": "Ag2GeAu", "functional": "PBE", "state": "optimized geometry", "sg": "F-43m", "total_energy_ev_per_atom": -3.345, "lattice": [[0.000, 3.317, 3.317], [3.317, 0.000, 3.317], [3.317, 3.317, 0.000]], "species": ["Ag", "Ag", "Au", "Ge"], "frac_coords": [[0.000, 0.000, 0.000], [0.750, 0.750, 0.750], [0.250, 0.250, 0.250], [0.500, 0.500, 0.500]]}

***

{"formula": "NaHoO2", "functional": "PBE", "state": "optimized geometry", "sg": "R-3m", "total_energy_ev_per_atom": -6.768, "lattice": [[-4.949, 2.957, 0.522], [-4.201, 1.744, 3.580], [-2.660, 4.523, 2.444]], "species": ["Ho", "Na", "O", "O"], "frac_coords": [[0.000, 0.000, 0.000], [0.500, 0.500, 0.500], [0.262, 0.262, 0.262], [0.738, 0.738, 0.738]]}

***

{"formula": "GdY2Ni4Sn4", "functional": "PBE", "state": "optimized geometry", "sg": "Immm", "total_energy_ev_per_atom": -5.649, "lattice": [[-1.215, 3.575, 7.321], [-7.549, 0.070, 3.295], [6.486, -4.283, -2.726]], "species": ["Gd", "Ni", "Ni", "Ni", "Ni", "Sn", "Sn", "Sn", "Sn", "Y", "Y"], "frac_coords": [[0.000, 0.000, 0.000], [0.631, 0.322, 0.309], [0.987, 0.678, 0.309], [0.013, 0.322, 0.691], [0.369, 0.678, 0.691], [0.217, 0.217, 0.000], [0.783, 0.783, 0.000], [0.704, 0.500, 0.204], [0.296, 0.500, 0.796], [0.631, 0.131, 0.500], [0.369, 0.869, 0.500]]}

***

{"formula": "KNiAgSe2S", "functional": "PBE", "state": "optimized geometry", "sg": "Cmcm", "total_energy_ev_per_atom": -3.690, "lattice": [[1.842, -7.312, 0.000], [1.842, 7.312, 0.000], [0.000, 0.000, 10.352]], "species": ["Ag", "Ag", "K", "K", "Ni", "Ni", "S", "S", "Se", "Se", "Se", "Se"], "frac_coords": [[0.442, 0.558, 0.250], [0.558, 0.442, 0.750], [0.742, 0.258, 0.250], [0.258, 0.742, 0.750], [0.000, 0.000, 0.000], [0.000, 0.000, 0.500], [0.059, 0.941, 0.250], [0.941, 0.059, 0.750], [0.392, 0.608, 0.014], [0.392, 0.608, 0.486], [0.608, 0.392, 0.514], [0.608, 0.392, 0.986]]}

***

{"formula": "BeFeCuSi", "functional": "PBE", "state": "optimized geometry", "sg": "F-43m", "total_energy_ev_per_atom": -5.293, "lattice": [[-1.072, -3.105, 2.123], [-3.551, -1.566, -0.481], [-0.380, -3.498, -1.706]], "species": ["Be", "Cu", "Fe", "Si"], "frac_coords": [[0.750, 0.750, 0.750], [0.500, 0.500, 0.500], [0.250, 0.250, 0.250], [0.000, 0.000, 0.000]]}

***

{"formula": "RbSm3F", "functional": "PBE", "state": "optimized geometry", "sg": "Pm-3m", "total_energy_ev_per_atom": -3.837, "lattice": [[5.256, 0.000, 0.000], [0.000, 5.256, 0.000], [0.000, 0.000, 5.256]], "species": ["F", "Rb", "Sm", "Sm", "Sm"], "frac_coords": [[0.000, 0.000, 0.000], [0.500, 0.500, 0.500], [0.500, 0.000, 0.000], [0.000, 0.500, 0.000], [0.000, 0.000, 0.500]]}